# 1
DFT (PBE) results for a geometry-optimized Ca2HgOs structure.

Calculated values
The raw total energy comes out at -3.61 eV per atom. Its space group is No. 119. For the total moment, the calculation gives 0.000 Bohr magnetons per cell.

Cell: 5.536 5.536 5.536 Å, 132.96 132.96 68.72°
Atoms (fractional coordinates):
1 Ca 0.000 0.000 0.000
2 Ca 0.250 0.750 0.500
3 Os 0.750 0.250 0.500
4 Hg 0.500 0.500 0.000

=====

# 2
DFT (PBE) results for a geometry-optimized Pr2ScAlS6 structure.

Calculated values
The raw total energy comes out at -6.22 eV per atom. Its space group is No. 14. The raw formation energy is -1775 meV per atom. For the total moment, the calculation gives 0.000 Bohr magnetons per cell.

Cell: 6.477 7.063 9.423 Å, 90.00 90.33 90.00°
Atoms (fractional coordinates):
1 Pr 0.034 0.904 0.248
2 Pr 0.534 0.596 0.748
3 Pr 0.966 0.096 0.752
4 Pr 0.466 0.404 0.252
5 Sc 0.500 0.000 0.000
6 Sc 0.000 0.500 0.500
7 Al 0.500 0.000 0.500
8 Al 0.000 0.500 0.000
9 S 0.309 0.682 0.054
10 S 0.809 0.818 0.554
11 S 0.691 0.318 0.946
12 S 0.191 0.182 0.446
13 S 0.322 0.695 0.445
14 S 0.822 0.805 0.945
15 S 0.678 0.305 0.555
16 S 0.178 0.195 0.055
17 S 0.887 0.524 0.241
18 S 0.387 0.976 0.741
19 S 0.113 0.476 0.759
20 S 0.613 0.024 0.259

=====

# 3
DFT (PBE) results for a geometry-optimized LaEr2Tl2Zn2 structure.

Calculated values
The raw total energy comes out at -3.24 eV per atom. Its space group is No. 166. For the total moment, the calculation gives 0.000 Bohr magnetons per cell.

Cell: 4.835 4.835 9.436 Å, 75.15 75.15 60.00°
Atoms (fractional coordinates):
1 La 0.000 0.000 0.000
2 Er 0.134 0.134 0.599
3 Er 0.866 0.866 0.401
4 Tl 0.738 0.738 0.787
5 Tl 0.262 0.262 0.213
6 Zn 0.564 0.564 0.308
7 Zn 0.436 0.436 0.692

=====

# 4
DFT (PBE) results for a geometry-optimized Pr2Te2Cl structure.

Calculated values
Its energy above the lowest structure with this stoichiometry is 0.000 eV per atom. The raw total energy comes out at -5.19 eV per atom. Its space group is No. 139. The raw formation energy is -1648 meV per atom. For the total moment, the calculation gives 0.000 Bohr magnetons per cell.

Cell: 4.519 4.519 9.339 Å, 104.00 104.00 90.00°
Atoms (fractional coordinates):
1 Pr 0.842 0.842 0.684
2 Pr 0.158 0.158 0.316
3 Te 0.656 0.656 0.313
4 Te 0.344 0.344 0.687
5 Cl 0.000 0.000 0.000

=====

Record-wise density of states at the Fermi level values, in states/eV per cell: 2.10, 0.00, 4.38, 1.99